Record 1
## PuHf4Zr3 (PBE)

Data for a relaxed structure of PuHf4Zr3. Values from VASP.

```
&SYSTEM
  ibrav = 0, nat = 16, ntyp = 3
/
ATOMIC_SPECIES
Hf 178.49 Hf.upf
Zr 91.22 Zr.upf
Pu 244.00 Pu.upf
CELL_PARAMETERS angstrom
-1.4703 3.1386 2.8780
0.7457 -5.8853 6.7990
8.4619 2.6844 1.3956
ATOMIC_POSITIONS crystal
Hf 0.5644 0.8787 0.2527
Hf 0.0644 0.1213 0.2473
Hf 0.0644 0.8784 0.0000
Hf 0.5644 0.8787 0.7473
Hf 0.5644 0.1216 0.5000
Hf 0.5644 0.1228 0.0000
Hf 0.0644 0.8772 0.5000
Hf 0.0644 0.1213 0.7527
Zr 0.0644 0.3729 0.5000
Zr 0.0644 0.6289 0.2543
Zr 0.5644 0.6271 0.0000
Zr 0.0644 0.6289 0.7457
Zr 0.5644 0.3711 0.7543
Zr 0.5644 0.3711 0.2457
Pu 0.0644 0.3751 0.0000
Pu 0.5644 0.6249 0.5000
```

The calculation puts the electronic total energy at -9.93 eV/atom. The value obtained for the offset from the most stable computed form is 0.0 meV/atom. For the volume, the calculation gives 365 Å³/cell. As for the energy of formation from the pure elements: 4.3 kJ per mole of atoms. The total magnetization is 0.61 μB/atom.

***

Record 2
## ZrSc2Cd2 (PBE)

Data for a relaxed structure of ZrSc2Cd2. Values from VASP.

```
&SYSTEM
  ibrav = 0, nat = 10, ntyp = 3
/
ATOMIC_SPECIES
Cd 112.41 Cd.upf
Zr 91.22 Zr.upf
Sc 44.96 Sc.upf
CELL_PARAMETERS angstrom
8.4444 0.0000 0.0000
0.0000 8.4444 0.0000
0.0000 0.0000 3.1764
ATOMIC_POSITIONS crystal
Cd 0.8310 0.3310 0.5000
Cd 0.3310 0.1690 0.5000
Cd 0.1690 0.6690 0.5000
Cd 0.6690 0.8310 0.5000
Zr 0.0000 0.0000 0.0000
Zr 0.5000 0.5000 0.0000
Sc 0.1310 0.3690 0.0000
Sc 0.3690 0.8690 0.0000
Sc 0.6310 0.1310 0.0000
Sc 0.8690 0.6310 0.0000
```

The calculation puts the electronic total energy at -4.60 eV/atom. The value obtained for the offset from the most stable computed form is 147.0 meV/atom. For the volume, the calculation gives 227 Å³/cell. As for the energy of formation from the pure elements: 0.6 kJ per mole of atoms. The total magnetization is 0.00 μB/atom.

***

Record 3
## HoEr8Sc2 (PBE)

Data for a relaxed structure of HoEr8Sc2. Values from VASP.

```
&SYSTEM
  ibrav = 0, nat = 11, ntyp = 3
/
ATOMIC_SPECIES
Sc 44.96 Sc.upf
Er 167.26 Er.upf
Ho 164.93 Ho.upf
CELL_PARAMETERS angstrom
5.0136 0.0014 -1.5229
-1.0569 7.2969 -3.4895
0.0725 -0.6174 9.2589
ATOMIC_POSITIONS crystal
Sc 0.7928 0.2417 0.5859
Sc 0.2072 0.7583 0.4141
Er 0.9763 0.6750 0.9523
Er 0.0237 0.3250 0.0477
Er 0.3277 0.5608 0.6555
Er 0.6723 0.4392 0.3445
Er 0.6188 0.7857 0.2373
Er 0.8415 0.8867 0.6828
Er 0.3812 0.2143 0.7627
Er 0.1585 0.1133 0.3172
Ho 0.5000 0.0000 0.0000
```

The calculation puts the electronic total energy at -4.79 eV/atom. The value obtained for the offset from the most stable computed form is 0.0 meV/atom. For the volume, the calculation gives 328 Å³/cell. As for the energy of formation from the pure elements: 8.8 kJ per mole of atoms. The total magnetization is 0.00 μB/atom.

***

Record 4
## ThTlB (PBE)

Data for a relaxed structure of ThTlB. Values from VASP.

```
&SYSTEM
  ibrav = 0, nat = 6, ntyp = 3
/
ATOMIC_SPECIES
B 10.81 B.upf
Tl 204.38 Tl.upf
Th 232.04 Th.upf
CELL_PARAMETERS angstrom
3.7735 0.0000 0.0000
-1.8868 4.4195 0.3204
0.0000 -1.9666 8.5448
ATOMIC_POSITIONS crystal
B 0.4140 0.8280 0.9541
B 0.5860 0.1720 0.0459
Tl 0.6308 0.2616 0.4115
Tl 0.3692 0.7384 0.5885
Th 0.1173 0.2347 0.8429
Th 0.8827 0.7653 0.1571
```

The calculation puts the electronic total energy at -5.56 eV/atom. For the volume, the calculation gives 145 Å³/cell. As for the energy of formation from the pure elements: -7.3 kJ per mole of atoms. The total magnetization is 0.00 μB/atom.

***

Record 5
## Ac6SnBi2Te3 (PBE)

Data for a relaxed structure of Ac6SnBi2Te3. Values from VASP.

```
&SYSTEM
  ibrav = 0, nat = 12, ntyp = 4
/
ATOMIC_SPECIES
Te 127.60 Te.upf
Ac 227.00 Ac.upf
Bi 208.98 Bi.upf
Sn 118.71 Sn.upf
CELL_PARAMETERS angstrom
-2.1983 3.3663 2.6724
4.4560 -3.3043 7.8275
7.7882 5.5309 -4.9210
ATOMIC_POSITIONS crystal
Te 0.1684 0.8330 0.3369
Te 0.5000 0.5000 0.0000
Te 0.8316 0.1670 0.6631
Ac 0.6667 0.5813 0.3334
Ac 0.3379 0.9177 0.6758
Ac 0.3333 0.4187 0.6666
Ac 0.6621 0.0823 0.3242
Ac 0.0002 0.2396 0.0004
Ac 0.9998 0.7604 0.9996
Bi 0.8327 0.6656 0.6655
Bi 0.1673 0.3344 0.3345
Sn 0.5000 0.0000 0.0000
```

The calculation puts the electronic total energy at -5.06 eV/atom. Its energy relative to the elements, uncorrected is -1241 meV/atom. For the volume, the calculation gives 473 Å³/cell. The total magnetization is 0.00 μB/atom.

***

Record 6
## TaCu2Pt3 (PBE)

Data for a relaxed structure of TaCu2Pt3. Values from VASP.

```
&SYSTEM
  ibrav = 0, nat = 12, ntyp = 3
/
ATOMIC_SPECIES
Cu 63.55 Cu.upf
Pt 195.08 Pt.upf
Ta 180.95 Ta.upf
CELL_PARAMETERS angstrom
-0.7535 -0.5835 -3.9241
-0.6655 -6.2846 -1.0155
-7.1591 0.5493 1.2940
ATOMIC_POSITIONS crystal
Cu 0.0000 0.0000 0.0000
Cu 0.3263 0.3475 0.5000
Cu 0.0000 0.0000 0.5000
Cu 0.6737 0.6525 0.5000
Pt 0.8349 0.3311 0.7521
Pt 0.4993 0.0000 0.2635
Pt 0.1651 0.6689 0.2479
Pt 0.1661 0.6689 0.7521
Pt 0.8339 0.3311 0.2479
Pt 0.5007 0.0000 0.7365
Ta 0.6544 0.6912 0.0000
Ta 0.3456 0.3088 0.0000
```

The calculation puts the electronic total energy at -6.77 eV/atom. For the volume, the calculation gives 179 Å³/cell. As for the energy of formation from the pure elements: -39.9 kJ per mole of atoms. The total magnetization is 0.00 μB/atom.

***

Record 7
## ZrAlPt2 (PBE)

Data for a relaxed structure of ZrAlPt2. Values from VASP.

```
&SYSTEM
  ibrav = 0, nat = 4, ntyp = 3
/
ATOMIC_SPECIES
Pt 195.08 Pt.upf
Al 26.98 Al.upf
Zr 91.22 Zr.upf
CELL_PARAMETERS angstrom
4.9121 -0.0545 0.0802
3.6275 3.3126 0.0802
1.2215 0.4660 4.2265
ATOMIC_POSITIONS crystal
Pt 0.9848 0.9848 0.0633
Pt 0.7545 0.7545 0.7251
Al 0.2614 0.2614 0.1779
Zr 0.4992 0.4992 0.5336
```

The calculation puts the electronic total energy at -7.01 eV/atom. For the volume, the calculation gives 69 Å³/cell. As for the energy of formation from the pure elements: -88.7 kJ per mole of atoms. The total magnetization is 0.00 μB/atom.

***

Record 8
## TbDyHoZn (PBE)

Data for a relaxed structure of TbDyHoZn. Values from VASP.

```
&SYSTEM
  ibrav = 0, nat = 4, ntyp = 4
/
ATOMIC_SPECIES
Zn 65.41 Zn.upf
Ho 164.93 Ho.upf
Dy 162.50 Dy.upf
Tb 158.93 Tb.upf
CELL_PARAMETERS angstrom
-2.9483 -4.2798 -1.1462
-0.4184 -3.9648 3.5254
-4.6002 -0.8219 2.5467
ATOMIC_POSITIONS crystal
Zn 0.0000 0.0000 0.0000
Ho 0.5000 0.5000 0.5000
Dy 0.2500 0.2500 0.2500
Tb 0.7500 0.7500 0.7500
```

The calculation puts the electronic total energy at -3.73 eV/atom. The value obtained for the offset from the most stable computed form is 207.4 meV/atom. For the volume, the calculation gives 107 Å³/cell. As for the energy of formation from the pure elements: 4.4 kJ per mole of atoms. The total magnetization is 0.00 μB/atom.

***

Record 9
## Na2YPuTe4 (PBE)

Data for a relaxed structure of Na2YPuTe4. Values from VASP.

```
&SYSTEM
  ibrav = 0, nat = 8, ntyp = 4
/
ATOMIC_SPECIES
Te 127.60 Te.upf
Pu 244.00 Pu.upf
Na 22.99 Na.upf
Y 88.91 Y.upf
CELL_PARAMETERS angstrom
4.4708 0.0000 0.0000
0.0000 7.7372 0.1102
0.0000 -2.7089 7.4835
ATOMIC_POSITIONS crystal
Te 0.5000 0.2475 0.2332
Te 0.0000 0.7412 0.2338
Te 0.0000 0.2588 0.7662
Te 0.5000 0.7525 0.7668
Pu 0.0000 0.0000 0.0000
Na 0.5000 0.0000 0.5000
Na 0.0000 0.5000 0.5000
Y 0.5000 0.5000 0.0000
```

The calculation puts the electronic total energy at -5.67 eV/atom. Its energy relative to the elements, uncorrected is -1173 meV/atom. For the volume, the calculation gives 260 Å³/cell. The total magnetization is 0.62 μB/atom.

***

Record 10
## CaYHg2 (PBE)

Data for a relaxed structure of CaYHg2. Values from VASP.

```
&SYSTEM
  ibrav = 0, nat = 8, ntyp = 3
/
ATOMIC_SPECIES
Y 88.91 Y.upf
Hg 200.59 Hg.upf
Ca 40.08 Ca.upf
CELL_PARAMETERS angstrom
-6.3114 -4.5727 -2.3588
3.4839 -1.0510 -7.2845
0.3055 -5.8339 -3.5634
ATOMIC_POSITIONS crystal
Y 0.7500 0.2500 0.5000
Y 0.0000 0.0000 0.0000
Hg 0.1174 0.6250 0.2500
Hg 0.6326 0.1250 0.2500
Hg 0.3750 0.3674 0.7500
Hg 0.8750 0.8826 0.7500
Ca 0.5000 0.5000 0.0000
Ca 0.2500 0.7500 0.5000
```

The calculation puts the electronic total energy at -2.48 eV/atom. The value obtained for the offset from the most stable computed form is 340.6 meV/atom. For the volume, the calculation gives 245 Å³/cell. As for the energy of formation from the pure elements: -20.2 kJ per mole of atoms. The total magnetization is 0.00 μB/atom.

***

Record 11
## CaNdGeN3 (PBE)

Data for a relaxed structure of CaNdGeN3. Values from VASP.

```
&SYSTEM
  ibrav = 0, nat = 12, ntyp = 4
/
ATOMIC_SPECIES
N 14.01 N.upf
Ge 72.64 Ge.upf
Ca 40.08 Ca.upf
Nd 144.24 Nd.upf
CELL_PARAMETERS angstrom
3.3235 0.0000 0.0000
0.0000 5.9709 0.8890
0.0000 -1.4805 8.5152
ATOMIC_POSITIONS crystal
N 0.2500 0.4805 0.8252
N 0.7500 0.5195 0.1748
N 0.2500 0.0020 0.8190
N 0.7500 0.9980 0.1810
N 0.2500 0.7424 0.4432
N 0.7500 0.2576 0.5568
Ge 0.7500 0.7624 0.3243
Ge 0.2500 0.2376 0.6757
Ca 0.7500 0.7257 0.6707
Ca 0.2500 0.2743 0.3293
Nd 0.2500 0.7520 0.0343
Nd 0.7500 0.2480 0.9657
```

The calculation puts the electronic total energy at -6.79 eV/atom. Its energy relative to the elements, uncorrected is -733 meV/atom. For the volume, the calculation gives 173 Å³/cell. The total magnetization is 0.00 μB/atom.

***

Record 12
## LiCaCuCl4 (PBE)

Data for a relaxed structure of LiCaCuCl4. Values from VASP.

```
&SYSTEM
  ibrav = 0, nat = 14, ntyp = 4
/
ATOMIC_SPECIES
Cl 35.45 Cl.upf
Cu 63.55 Cu.upf
Ca 40.08 Ca.upf
Li 6.94 Li.upf
CELL_PARAMETERS angstrom
7.5130 0.0000 0.0000
3.7565 6.6120 -0.0349
3.7565 1.9811 6.3083
ATOMIC_POSITIONS crystal
Cl 0.2556 0.7597 0.7292
Cl 0.2561 0.2463 0.7463
Cl 0.2556 0.2292 0.2597
Cl 0.7444 0.2403 0.2708
Cl 0.2487 0.7537 0.2537
Cl 0.7513 0.2463 0.7463
Cl 0.7444 0.7708 0.7403
Cl 0.7439 0.7537 0.2537
Cu 0.6518 0.5982 0.0982
Cu 0.3482 0.4018 0.9018
Ca 0.0000 0.0000 0.0000
Ca 0.0000 0.5000 0.5000
Li 0.0000 0.0000 0.5000
Li 0.5000 0.0000 0.5000
```

The calculation puts the electronic total energy at -3.83 eV/atom. Its energy relative to the elements, uncorrected is -1627 meV/atom. For the volume, the calculation gives 314 Å³/cell. The total magnetization is 0.02 μB/atom.

***

> What is the electronic total energy in the sixth record?

-6.77 eV/atom